# K3YEr3Se8 PBE-GGA relaxed
# Crystal system: trigonal
# DOS(E_F), states/eV per atom: 0.542
# E, eV per formula unit: -76.52
# Formation energy without anion corrections, eV per atom: -1.680
data_K3YEr3Se8
_chemical_formula_sum 'K3 Y1 Er3 Se8'
_cell_length_a 9.1840
_cell_length_b 9.1840
_cell_length_c 9.1840
_cell_angle_alpha 53.34
_cell_angle_beta 53.34
_cell_angle_gamma 53.34
_space_group_name_H-M_alt 'P 1'
_space_group_IT_number 1
loop_
_space_group_symop_operation_xyz
'x,y,z'
loop_
_atom_site_label
_atom_site_type_symbol
_atom_site_fract_x
_atom_site_fract_y
_atom_site_fract_z
_atom_site_occupancy
K1 K 0.0000 0.5000 0.5000 1
K2 K 0.5000 0.0000 0.5000 1
K3 K 0.5000 0.5000 0.0000 1
Y1 Y 0.5000 0.5000 0.5000 1
Er1 Er 0.0000 0.0000 0.5000 1
Er2 Er 0.0000 0.5000 0.0000 1
Er3 Er 0.5000 0.0000 0.0000 1
Se1 Se 0.2306 0.7358 0.7358 1
Se2 Se 0.2345 0.2345 0.2345 1
Se3 Se 0.2642 0.2642 0.7694 1
Se4 Se 0.2642 0.7694 0.2642 1
Se5 Se 0.7358 0.2306 0.7358 1
Se6 Se 0.7358 0.7358 0.2306 1
Se7 Se 0.7655 0.7655 0.7655 1
Se8 Se 0.7694 0.2642 0.2642 1